# 1
Computed, not measured: an optimized crystal structure of HfTiPb2 at the GGA-PBE level of DFT.

Results
Relative energy among the computed polymorphs, meV/atom: 90
D(E_F), states/eV per atom: 0.3556
M_tot, μB per formula unit: 0.0

a b c (Å): 7.001 7.001 7.001
angles (deg): 34.46 34.46 34.46
Fractional coordinates of all 4 atoms:
1 Hf 0.000 0.000 0.000
2 Ti 0.500 0.500 0.500
3 Pb 0.246 0.246 0.246
4 Pb 0.754 0.754 0.754



# 2
Computed, not measured: an optimized crystal structure of Nb2AlIn2 at the GGA-PBE level of DFT.

Results
D(E_F), states/eV per atom: 0.8333
M_tot, μB per formula unit: 0.0
Energy, eV/atom: -5.758

a b c (Å): 6.884 6.884 4.394
angles (deg): 90.00 90.00 90.00
Fractional coordinates of all 10 atoms:
1 Nb 0.146 0.354 0.000
2 Nb 0.354 0.854 0.000
3 Nb 0.646 0.146 0.000
4 Nb 0.854 0.646 0.000
5 Al 0.000 0.000 0.000
6 Al 0.500 0.500 0.000
7 In 0.160 0.660 0.500
8 In 0.340 0.160 0.500
9 In 0.660 0.840 0.500
10 In 0.840 0.340 0.500